Entry 1:
A plane-wave DFT calculation with PBE was carried out for a relaxed YTl2Se crystal.

Computed properties:
- total moment (μB/atom) = 0.00
- energy above the lowest structure with this stoichiometry (meV/atom) = 607.0
- space group = No. 65
- Fermi-level density of states (states/eV/f.u.) = 3.706

Cell: 3.7802 3.7802 9.0227 Å, 90.00 90.00 115.43°
Positions (direct):
Se (0.5000, 0.5000, 0.7500)
Tl (0.0000, 0.0000, 0.9744)
Tl (0.0000, 0.0000, 0.5256)
Y (0.5000, 0.5000, 0.2500)

---

Entry 2:
A plane-wave DFT calculation with PBE was carried out for a relaxed Ac2TbF11 crystal.

Computed properties:
- total moment (μB/atom) = 0.15
- space group = No. 72
- Fermi-level density of states (states/eV/f.u.) = 12.002

Cell: 9.1268 9.1353 9.1353 Å, 72.21 60.03 60.03°
Positions (direct):
Ac (0.6734, 0.6926, 0.3074)
Ac (0.3266, 0.3074, 0.6926)
Ac (0.8266, 0.1926, 0.8074)
Ac (0.1734, 0.8074, 0.1926)
Tb (0.7500, 0.7500, 0.7500)
Tb (0.2500, 0.2500, 0.2500)
F (0.6795, 0.6986, 0.5684)
F (0.3205, 0.3014, 0.4316)
F (0.0535, 0.5684, 0.6986)
F (0.8205, 0.9316, 0.8014)
F (0.9465, 0.4316, 0.3014)
F (0.1795, 0.0684, 0.1986)
F (0.4465, 0.8014, 0.9316)
F (0.5535, 0.1986, 0.0684)
F (0.5000, 0.5000, 0.5000)
F (0.0000, 0.0000, 0.0000)
F (0.8979, 0.8194, 0.1806)
F (0.1021, 0.1806, 0.8194)
F (0.6021, 0.3194, 0.6806)
F (0.3979, 0.6806, 0.3194)
F (0.4419, 0.9849, 0.3216)
F (0.5581, 0.0151, 0.6784)
F (0.2516, 0.3216, 0.9849)
F (0.0581, 0.1784, 0.5151)
F (0.7484, 0.6784, 0.0151)
F (0.9419, 0.8216, 0.4849)
F (0.2484, 0.5151, 0.1784)
F (0.7516, 0.4849, 0.8216)

---

Number 1: formation energy from raw total energies -0.086 eV/atom, E -3.76 eV/atom. Number 2: formation energy from raw total energies -3.467 eV/atom, E -5.86 eV/atom.